An optimized crystal structure of La4Ga2I5. Source: Alexandria via LeMat-Bulk, functional PBE-GGA.

a = 24.7419 Å, b = 4.4277 Å, c = 8.9460 Å
α = 90.00°, β = 90.53°, γ = 90.00°
Space group C2/m (No. 12)
Inequivalent atoms, fractional coordinates:
La 0.0124 0.0000 0.2869 [4 per cell]
La 0.1615 0.5000 0.4465 [4 per cell]
Ga 0.0488 0.5000 0.5180 [4 per cell]
I 0.0000 0.5000 0.0000 [2 per cell]
I 0.1430 0.0000 0.1868 [4 per cell]
I 0.2078 0.0000 0.6839 [4 per cell]

Calculated values
Energy ... -4.101 eV per atom
Crystal system ... monoclinic
M_tot ... 0.000 μB/cell

An optimized crystal structure of La2GaI. Source: Alexandria via LeMat-Bulk, functional PBE-GGA.

a = 4.4322 Å, b = 4.4322 Å, c = 24.1574 Å
α = 90.00°, β = 90.00°, γ = 120.00°
Space group R3m (No. 160, hexagonal axes)
Inequivalent atoms, fractional coordinates:
La 0.0000 0.0000 0.0000 [3 per cell]
La 0.0000 0.0000 0.1953 [3 per cell]
Ga 0.0000 0.0000 0.5983 [3 per cell]
I 0.0000 0.0000 0.4286 [3 per cell]

Calculated values
Energy above the most stable polymorph in this dataset ... 0.0486 eV/atom
Energy ... -4.389 eV per atom
Crystal system ... trigonal
M_tot ... 0.001 μB/cell

An optimized crystal structure of LaGa2I2. Source: Alexandria via LeMat-Bulk, functional PBE-GGA.

a = 3.8647 Å, b = 3.8647 Å, c = 24.8164 Å
α = 90.00°, β = 90.00°, γ = 90.00°
Space group I4/mmm (No. 139)
Inequivalent atoms, fractional coordinates:
La 0.0000 0.0000 0.0000 [2 per cell]
Ga 0.0000 0.5000 0.2500 [4 per cell]
I 0.0000 0.0000 0.4224 [4 per cell]

Calculated values
Energy above the most stable polymorph in this dataset ... 0.0000 eV/atom
Energy ... -3.455 eV per atom
Crystal system ... tetragonal
M_tot ... 0.000 μB/cell

An optimized crystal structure of La4GaI3. Source: Alexandria via LeMat-Bulk, functional PBE-GGA.

a = 8.0451 Å, b = 9.0525 Å, c = 7.9399 Å
α = 90.00°, β = 108.54°, γ = 90.00°
Space group P2/c (No. 13)
Inequivalent atoms, fractional coordinates:
La 0.2163 0.1373 0.4779 [4 per cell]
La 0.2174 0.3904 0.9996 [4 per cell]
Ga 0.0000 0.3749 0.2500 [2 per cell]
I 0.0000 0.1321 0.7500 [2 per cell]
I 0.5000 0.1227 0.2500 [2 per cell]
I 0.5000 0.3669 0.7500 [2 per cell]

Calculated values
Energy above the most stable polymorph in this dataset ... 0.0073 eV/atom
Energy ... -4.351 eV per atom
Crystal system ... monoclinic
M_tot ... 0.000 μB/cell